A plane-wave DFT calculation with GGA-PBE was carried out for a geometry-optimized Zr3Ag2Hg structure.

```
data_Zr3Ag2Hg
_chemical_formula_sum 'Zr6 Ag4 Hg2'
_cell_length_a 7.709
_cell_length_b 7.709
_cell_length_c 4.714
_cell_angle_alpha 90.00
_cell_angle_beta 90.00
_cell_angle_gamma 72.71
_symmetry_space_group_name_H-M 'P 1'
_symmetry_Int_Tables_number 1
_symmetry_space_group_name_Hall 'P 1'
loop_
_atom_site_label
_atom_site_fract_x
_atom_site_fract_y
_atom_site_fract_z
_atom_site_occupancy
Zr1 0.087 0.913 0.750 1
Zr2 0.108 0.356 0.250 1
Zr3 0.356 0.108 0.750 1
Zr4 0.644 0.892 0.250 1
Zr5 0.892 0.644 0.750 1
Zr6 0.913 0.087 0.250 1
Ag1 0.283 0.492 0.750 1
Ag2 0.492 0.283 0.250 1
Ag3 0.508 0.717 0.750 1
Ag4 0.717 0.508 0.250 1
Hg1 0.270 0.730 0.250 1
Hg2 0.730 0.270 0.750 1
```

Results
Crystal system: orthorhombic
Formation enthalpy at 0 K, eV/atom: 0.313
Total magnetic moment, μB per formula unit: 0.00